1.
# TcGeC2S

TcGeC2S after structural relaxation (GGA-PBEsol, Alexandria).

Results
* DOS(E_F): 2.59 states/eV per cell
* size of the total moment: 0.00 μB/f.u.
* formation energy without anion corrections: 580.6 kJ/mol of formula units
* DFT total energy: -33.86 eV per formula unit
* symmetry: No. 123

a = 3.880 Å, b = 3.880 Å, c = 4.989 Å
α = 90.00°, β = 90.00°, γ = 90.00°
Fractional positions:
C1 0.500 0.000 0.000
C2 0.000 0.500 0.000
Ge1 0.500 0.500 0.500
S1 0.000 0.000 0.500
Tc1 0.000 0.000 0.000

---

2.
# Hg2C

Hg2C after structural relaxation (GGA-PBEsol, Alexandria).

Results
* DOS(E_F): 1.13 states/eV per cell
* size of the total moment: 0.00 μB/f.u.
* DFT total energy: -5.63 eV per formula unit
* distance to the lowest polymorph of the same formula: 126.9 meV per atom
* ΔE_f: 1.72 eV/atom
* symmetry: No. 139

a = 3.001 Å, b = 3.001 Å, c = 5.944 Å
α = 104.62°, β = 104.62°, γ = 90.00°
Fractional positions:
Hg1 0.140 0.140 0.281
Hg2 0.860 0.860 0.719
C1 0.500 0.500 0.000

---

3.
# KNiW2

KNiW2 after structural relaxation (GGA-PBEsol, Alexandria).

Results
* DOS(E_F): 4.53 states/eV per cell
* size of the total moment: 0.00 μB/f.u.
* DFT total energy: -31.41 eV per formula unit
* distance to the lowest polymorph of the same formula: 0.0 meV per atom
* ΔE_f: 0.87 eV/atom
* symmetry: No. 99

a = 3.147 Å, b = 3.147 Å, c = 8.216 Å
α = 90.00°, β = 90.00°, γ = 90.00°
Fractional positions:
W1 0.500 0.500 0.153
W2 0.000 0.000 0.988
K1 0.000 0.000 0.526
Ni1 0.500 0.500 0.833

---

4.
# NbPOs2S

NbPOs2S after structural relaxation (GGA-PBEsol, Alexandria).

Results
* DOS(E_F): 6.62 states/eV per cell
* size of the total moment: 1.02 μB/f.u.
* formation energy without anion corrections: 972.7 kJ/mol of formula units
* DFT total energy: -35.35 eV per formula unit
* symmetry: No. 123

a = 4.518 Å, b = 4.769 Å, c = 4.769 Å
α = 90.00°, β = 90.00°, γ = 90.00°
Each line ends with the local moment (μB).
Fractional positions:
S1 0.500 0.000 0.000  0.09
Os1 0.000 0.500 0.000  0.49
Os2 0.000 0.000 0.500  0.49
P1 0.500 0.500 0.500  -0.06
Nb1 0.000 0.000 0.000  -0.07

---

5.
# ErTmTl2

ErTmTl2 after structural relaxation (GGA-PBEsol, Alexandria).

Results
* DOS(E_F): 3.75 states/eV per cell
* size of the total moment: 0.00 μB/f.u.
* DFT total energy: -16.61 eV per formula unit
* ΔE_f: -0.38 eV/atom
* symmetry: No. 225

a = 5.216 Å, b = 5.216 Å, c = 5.216 Å
α = 60.00°, β = 60.00°, γ = 60.00°
Fractional positions:
Er1 0.000 0.000 0.000
Tl1 0.250 0.250 0.250
Tl2 0.750 0.750 0.750
Tm1 0.500 0.500 0.500

---

6.
# Sm2Ge5Rh3

Sm2Ge5Rh3 after structural relaxation (GGA-PBEsol, Alexandria).

Results
* DOS(E_F): 9.40 states/eV per cell
* size of the total moment: 0.00 μB/f.u.
* DFT total energy: -67.93 eV per formula unit
* ΔE_f: -0.86 eV/atom
* symmetry: No. 15

a = 5.844 Å, b = 8.287 Å, c = 8.287 Å
α = 94.01°, β = 109.07°, γ = 109.07°
Fractional positions:
Sm1 0.762 0.405 0.131
Sm2 0.262 0.131 0.405
Sm3 0.738 0.869 0.595
Sm4 0.238 0.595 0.869
Rh1 0.875 0.263 0.545
Rh2 0.750 0.002 0.998
Rh3 0.625 0.455 0.737
Rh4 0.250 0.998 0.002
Rh5 0.375 0.545 0.263
Rh6 0.125 0.737 0.455
Ge1 0.169 0.265 0.072
Ge2 0.750 0.777 0.223
Ge3 0.669 0.072 0.265
Ge4 0.750 0.513 0.487
Ge5 0.750 0.208 0.792
Ge6 0.331 0.928 0.735
Ge7 0.250 0.487 0.513
Ge8 0.831 0.735 0.928
Ge9 0.250 0.223 0.777
Ge10 0.250 0.792 0.208

---

7.
# ZrAsAu

ZrAsAu after structural relaxation (GGA-PBEsol, Alexandria).

Results
* DOS(E_F): 2.72 states/eV per cell
* size of the total moment: 0.00 μB/f.u.
* DFT total energy: -18.66 eV per formula unit
* ΔE_f: -0.18 eV/atom
* symmetry: No. 216

a = 4.488 Å, b = 4.488 Å, c = 4.488 Å
α = 60.00°, β = 60.00°, γ = 60.00°
Fractional positions:
Au1 0.750 0.750 0.750
As1 0.500 0.500 0.500
Zr1 0.000 0.000 0.000

---

8.
# CaLa3Rh

CaLa3Rh after structural relaxation (GGA-PBEsol, Alexandria).

Results
* DOS(E_F): 6.16 states/eV per cell
* size of the total moment: 0.00 μB/f.u.
* DFT total energy: -27.40 eV per formula unit
* ΔE_f: -0.22 eV/atom
* symmetry: No. 221

a = 5.606 Å, b = 5.606 Å, c = 5.606 Å
α = 90.00°, β = 90.00°, γ = 90.00°
Fractional positions:
Rh1 0.000 0.000 0.000
Ca1 0.500 0.500 0.500
La1 0.000 0.000 0.500
La2 0.500 0.000 0.000
La3 0.000 0.500 0.000

---

9.
# MgAs2Au

MgAs2Au after structural relaxation (GGA-PBEsol, Alexandria).

Results
* DOS(E_F): 1.42 states/eV per cell
* size of the total moment: 0.00 μB/f.u.
* DFT total energy: -16.51 eV per formula unit
* ΔE_f: -0.16 eV/atom
* symmetry: No. 10

a = 3.855 Å, b = 4.930 Å, c = 4.514 Å
α = 105.82°, β = 90.00°, γ = 90.00°
Fractional positions:
As1 0.000 0.193 0.239
As2 0.000 0.807 0.761
Mg1 0.500 0.500 0.000
Au1 0.500 0.000 0.500

---

10.
# IrRu2I

IrRu2I after structural relaxation (GGA-PBEsol, Alexandria).

Results
* DOS(E_F): 4.98 states/eV per cell
* size of the total moment: 2.24 μB/f.u.
* formation energy without anion corrections: 379.0 kJ/mol of formula units
* DFT total energy: -28.01 eV per formula unit
* symmetry: No. 225

a = 4.468 Å, b = 4.468 Å, c = 4.468 Å
α = 60.00°, β = 60.00°, γ = 60.00°
Each line ends with the local moment (μB).
Fractional positions:
Ru1 0.250 0.250 0.250  0.94
Ru2 0.750 0.750 0.750  0.94
Ir1 0.500 0.500 0.500  0.27
I1 0.000 0.000 0.000  0.04

---

11.
# Sr2LaTlO

Sr2LaTlO after structural relaxation (GGA-PBEsol, Alexandria).

Results
* DOS(E_F): 2.04 states/eV per cell
* size of the total moment: 0.00 μB/f.u.
* formation energy without anion corrections: -647.9 kJ/mol of formula units
* DFT total energy: -23.62 eV per formula unit
* symmetry: No. 123

a = 5.076 Å, b = 5.092 Å, c = 5.092 Å
α = 90.00°, β = 90.00°, γ = 90.00°
Fractional positions:
Tl1 0.500 0.500 0.500
Sr1 0.000 0.000 0.500
Sr2 0.000 0.500 0.000
La1 0.500 0.000 0.000
O1 0.000 0.000 0.000

---

12.
# NbFe2

NbFe2 after structural relaxation (GGA-PBEsol, Alexandria).

Results
* DOS(E_F): 8.88 states/eV per cell
* size of the total moment: 1.55 μB/f.u.
* DFT total energy: -29.22 eV per formula unit
* ΔE_f: -0.16 eV/atom
* symmetry: No. 227

a = 4.732 Å, b = 4.732 Å, c = 4.732 Å
α = 60.00°, β = 60.00°, γ = 60.00°
Each line ends with the local moment (μB).
Fractional positions:
Fe1 0.125 0.625 0.625  0.96
Fe2 0.625 0.125 0.625  0.96
Fe3 0.625 0.625 0.625  0.96
Fe4 0.625 0.625 0.125  0.96
Nb1 0.000 0.000 0.000  -0.32
Nb2 0.250 0.250 0.250  -0.32